The following is a PBE calculation of crystalline NbAg3Cl at its relaxed geometry, from Alexandria via LeMat-Bulk.

Lattice parameters (Å, degrees): 4.952 4.952 4.952 90.00 90.00 90.00
Space group Pm-3m (No. 221)
Inequivalent atoms, fractional coordinates:
Nb 0.000 0.000 0.000 [1 per cell]
Ag 0.000 0.500 0.500 [3 per cell]
Cl 0.500 0.500 0.500 [1 per cell]

The formation energy without anion corrections is 1.1855 eV per atom. For the energy above the most stable polymorph in this dataset, the calculation gives 0.00 eV/f.u. The density of states at the Fermi level comes out at 4.37 states/eV per cell. Its crystal system is cubic.

The following is a PBE calculation of crystalline TmFeB3 at its relaxed geometry, from Alexandria via LeMat-Bulk.

Lattice parameters (Å, degrees): 3.095 14.208 4.656 90.00 90.00 90.00
Space group Cmcm (No. 63)
Inequivalent atoms, fractional coordinates:
Tm 0.000 0.085 0.250 [4 per cell]
Fe 0.000 0.411 0.250 [4 per cell]
B 0.000 0.185 0.750 [4 per cell]
B 0.000 0.287 0.538 [8 per cell]

For the energy above the most stable polymorph in this dataset, the calculation gives 1.58 eV/f.u. The density of states at the Fermi level comes out at 3.01 states/eV per cell. Its crystal system is orthorhombic. For the formation energy, the calculation gives -7 kJ per mole of atoms.

The following is a PBE calculation of crystalline PuHfZr4 at its relaxed geometry, from Alexandria via LeMat-Bulk.

Lattice parameters (Å, degrees): 4.553 13.374 4.563 90.00 90.00 90.00
Space group Cmmm (No. 65)
Inequivalent atoms, fractional coordinates:
Pu 0.000 0.000 0.000 [2 per cell]
Hf 0.000 0.500 0.500 [2 per cell]
Zr 0.000 0.166 0.500 [4 per cell]
Zr 0.000 0.337 0.000 [4 per cell]

For the energy above the most stable polymorph in this dataset, the calculation gives 0.00 eV/f.u. The density of states at the Fermi level comes out at 18.51 states/eV per cell. Its crystal system is orthorhombic. For the formation energy, the calculation gives 5 kJ per mole of atoms.

The following is a PBE calculation of crystalline BaTaRe2 at its relaxed geometry, from Alexandria via LeMat-Bulk.

Lattice parameters (Å, degrees): 3.069 5.325 9.945 90.00 90.00 90.00
Space group Immm (No. 71)
Inequivalent atoms, fractional coordinates:
Ba 0.000 0.000 0.000 [2 per cell]
Ta 0.000 0.000 0.500 [2 per cell]
Re 0.000 0.500 0.221 [4 per cell]

For the energy above the most stable polymorph in this dataset, the calculation gives 2.35 eV/f.u. The density of states at the Fermi level comes out at 7.35 states/eV per cell. Its crystal system is orthorhombic. For the formation energy, the calculation gives 119 kJ per mole of atoms.

The following is a PBE calculation of crystalline Ho2ErZn2Ge2 at its relaxed geometry, from Alexandria via LeMat-Bulk.

Lattice parameters (Å, degrees): 4.1210 4.1210 32.8945 90.00 90.00 120.00
Space group R-3m (No. 166, hexagonal axes)
Inequivalent atoms, fractional coordinates:
Ho 0.0000 0.0000 0.1226 [6 per cell]
Er 0.0000 0.0000 0.0000 [3 per cell]
Zn 0.0000 0.0000 0.3971 [6 per cell]
Ge 0.0000 0.0000 0.2739 [6 per cell]

The density of states at the Fermi level comes out at 21.14 states/eV per cell. Its crystal system is trigonal. For the formation energy, the calculation gives -41 kJ per mole of atoms.

The following is a PBE calculation of crystalline CdCu5Pt6 at its relaxed geometry, from Alexandria via LeMat-Bulk.

Lattice parameters (Å, degrees): 4.608 5.660 6.714 90.00 94.99 90.00
Space group P2/m (No. 10)
Inequivalent atoms, fractional coordinates:
Cd 0.000 0.000 0.000 [1 per cell]
Cu 0.000 0.500 0.000 [1 per cell]
Cu 0.318 0.500 0.675 [2 per cell]
Cu 0.328 0.000 0.668 [2 per cell]
Pt 0.185 0.254 0.345 [4 per cell]
Pt 0.500 0.259 0.000 [2 per cell]

The density of states at the Fermi level comes out at 9.34 states/eV per cell. Its crystal system is monoclinic. For the formation energy, the calculation gives -15 kJ per mole of atoms.

The following is a PBE calculation of crystalline CaIn2Te2 at its relaxed geometry, from Alexandria via LeMat-Bulk.

Lattice parameters (Å, degrees): 8.414 8.414 4.799 90.00 90.00 90.00
Space group P4/mbm (No. 127)
Inequivalent atoms, fractional coordinates:
Ca 0.000 0.000 0.000 [2 per cell]
In 0.131 0.369 0.500 [4 per cell]
Te 0.179 0.679 0.000 [4 per cell]

The formation energy without anion corrections is -0.5110 eV per atom. For the energy above the most stable polymorph in this dataset, the calculation gives 0.15 eV/f.u. The density of states at the Fermi level comes out at 1.48 states/eV per cell. Its crystal system is tetragonal.

The following is a PBE calculation of crystalline KCrTc2 at its relaxed geometry, from Alexandria via LeMat-Bulk.

Lattice parameters (Å, degrees): 5.367 10.076 2.551 90.00 90.00 90.00
Space group Cmmm (No. 65)
Inequivalent atoms, fractional coordinates:
K 0.000 0.000 0.000 [2 per cell]
Cr 0.000 0.500 0.000 [2 per cell]
Tc 0.250 0.250 0.500 [4 per cell]

For the energy above the most stable polymorph in this dataset, the calculation gives 2.53 eV/f.u. The density of states at the Fermi level comes out at 8.94 states/eV per cell. Its crystal system is orthorhombic. For the formation energy, the calculation gives 133 kJ per mole of atoms.

The following is a PBE calculation of crystalline EuErAgPd at its relaxed geometry, from Alexandria via LeMat-Bulk.

Lattice parameters (Å, degrees): 7.233 7.233 7.233 90.00 90.00 90.00
Space group F-43m (No. 216)
Inequivalent atoms, fractional coordinates:
Eu 0.000 0.000 0.000 [4 per cell]
Er 0.000 0.000 0.500 [4 per cell]
Ag 0.250 0.250 0.250 [4 per cell]
Pd 0.250 0.250 0.750 [4 per cell]

The density of states at the Fermi level comes out at 32.87 states/eV per cell. Its crystal system is cubic. For the formation energy, the calculation gives -48 kJ per mole of atoms.

The following is a PBE calculation of crystalline YSb2Cl at its relaxed geometry, from Alexandria via LeMat-Bulk.

Lattice parameters (Å, degrees): 10.186 3.919 6.995 90.00 124.41 90.00
Space group Cm (No. 8)
Inequivalent atoms, fractional coordinates:
Y 0.000 0.000 0.000 [2 per cell]
Sb 0.202 0.500 0.465 [2 per cell]
Sb 0.454 0.000 0.599 [2 per cell]
Cl 0.301 0.000 0.999 [2 per cell]

The formation energy without anion corrections is -0.8599 eV per atom. For the energy above the most stable polymorph in this dataset, the calculation gives 0.00 eV/f.u. The density of states at the Fermi level comes out at 3.97 states/eV per cell. Its crystal system is monoclinic.

The following is a PBE calculation of crystalline Np3Pb5Se12 at its relaxed geometry, from Alexandria via LeMat-Bulk.

Lattice parameters (Å, degrees): 17.064 17.064 17.064 90.00 90.00 90.00
Space group Ia-3d (No. 230)
Inequivalent atoms, fractional coordinates:
Np 0.000 0.250 0.125 [24 per cell]
Pb 0.000 0.000 0.000 [16 per cell]
Pb 0.000 0.250 0.375 [24 per cell]
Se 0.011 0.073 0.656 [96 per cell]

The formation energy without anion corrections is -0.5460 eV per atom. The density of states at the Fermi level comes out at 251.90 states/eV per cell. Its crystal system is cubic.

The following is a PBE calculation of crystalline Ti2RhW at its relaxed geometry, from Alexandria via LeMat-Bulk.

Lattice parameters (Å, degrees): 6.983 6.983 5.446 90.00 90.00 90.00
Space group I-42d (No. 122)
Inequivalent atoms, fractional coordinates:
Ti 0.233 0.250 0.125 [8 per cell]
Rh 0.000 0.000 0.000 [4 per cell]
W 0.000 0.000 0.500 [4 per cell]

The density of states at the Fermi level comes out at 19.00 states/eV per cell. Its crystal system is tetragonal. For the formation energy, the calculation gives 20 kJ per mole of atoms.

The following is a PBE calculation of crystalline K2PdBr4 at its relaxed geometry, from Alexandria via LeMat-Bulk.

Lattice parameters (Å, degrees): 5.305 5.305 16.197 90.00 90.00 90.00
Space group I4/mmm (No. 139)
Inequivalent atoms, fractional coordinates:
K 0.000 0.000 0.135 [4 per cell]
Pd 0.000 0.000 0.500 [2 per cell]
Br 0.000 0.000 0.341 [4 per cell]
Br 0.000 0.500 0.000 [4 per cell]

The formation energy without anion corrections is -1.1205 eV per atom. For the energy above the most stable polymorph in this dataset, the calculation gives 0.29 eV/f.u. The density of states at the Fermi level comes out at 0.62 states/eV per cell. Its crystal system is tetragonal.

The following is a PBE calculation of crystalline EuAgSn2 at its relaxed geometry, from Alexandria via LeMat-Bulk.

Lattice parameters (Å, degrees): 3.796 3.796 7.266 90.00 90.00 90.00
Space group P4/mmm (No. 123)
Inequivalent atoms, fractional coordinates:
Eu 0.000 0.000 0.000 [1 per cell]
Ag 0.000 0.000 0.500 [1 per cell]
Sn 0.500 0.500 0.296 [2 per cell]

The density of states at the Fermi level comes out at 1.88 states/eV per cell. Its crystal system is tetragonal. For the formation energy, the calculation gives -26 kJ per mole of atoms.

The following is a PBE calculation of crystalline TaIn2As at its relaxed geometry, from Alexandria via LeMat-Bulk.

Lattice parameters (Å, degrees): 3.1103 3.1103 32.0955 90.00 90.00 120.00
Space group R3m (No. 160, hexagonal axes)
Inequivalent atoms, fractional coordinates:
Ta 0.0000 0.0000 0.0000 [3 per cell]
In 0.0000 0.0000 0.2559 [3 per cell]
In 0.0000 0.0000 0.5010 [3 per cell]
As 0.0000 0.0000 0.7315 [3 per cell]

The density of states at the Fermi level comes out at 7.32 states/eV per cell. Its crystal system is trigonal. For the formation energy, the calculation gives 9 kJ per mole of atoms.

The following is a PBE calculation of crystalline Rb2TlIrO6 at its relaxed geometry, from Alexandria via LeMat-Bulk.

Lattice parameters (Å, degrees): 8.491 8.491 8.491 90.00 90.00 90.00
Space group Fm-3m (No. 225)
Inequivalent atoms, fractional coordinates:
Rb 0.250 0.250 0.250 [8 per cell]
Tl 0.000 0.000 0.000 [4 per cell]
Ir 0.000 0.000 0.500 [4 per cell]
O 0.000 0.000 0.273 [24 per cell]

The formation energy without anion corrections is -0.8127 eV per atom. The density of states at the Fermi level comes out at 27.58 states/eV per cell. Its crystal system is cubic.

The following is a PBE calculation of crystalline Zr4CdNi at its relaxed geometry, from Alexandria via LeMat-Bulk.

Lattice parameters (Å, degrees): 8.040 8.040 8.040 90.00 90.00 90.00
Space group F-43m (No. 216)
Inequivalent atoms, fractional coordinates:
Zr 0.125 0.125 0.125 [16 per cell]
Cd 0.250 0.250 0.750 [4 per cell]
Ni 0.000 0.000 0.500 [4 per cell]

For the energy above the most stable polymorph in this dataset, the calculation gives 3.81 eV/f.u. The density of states at the Fermi level comes out at 24.69 states/eV per cell. Its crystal system is cubic. For the formation energy, the calculation gives 42 kJ per mole of atoms.

The following is a PBE calculation of crystalline Th6GeSe2S3 at its relaxed geometry, from Alexandria via LeMat-Bulk.

Lattice parameters (Å, degrees): 7.179 12.415 7.191 90.00 109.38 90.00
Space group C2/m (No. 12)
Inequivalent atoms, fractional coordinates:
Th 0.241 0.000 0.235 [4 per cell]
Th 0.247 0.335 0.234 [8 per cell]
Ge 0.000 0.000 0.500 [2 per cell]
Se 0.000 0.333 0.500 [4 per cell]
S 0.000 0.166 0.000 [4 per cell]
S 0.000 0.500 0.000 [2 per cell]

The formation energy without anion corrections is -1.5874 eV per atom. The density of states at the Fermi level comes out at 16.92 states/eV per cell. Its crystal system is monoclinic.